[1]
DFT (GGA-PBE) results for a relaxed Pm12Nd3Er crystal.

The structure in POSCAR format:
```
Pm12Nd3Er
1.0
-4.849 1.315 1.154
-1.630 -2.161 -4.388
-2.542 -17.958 9.788
Nd Pm Er
3 12 1
direct
0.000 0.000 0.500
0.000 0.000 0.249
0.000 0.000 0.751
0.500 0.500 0.500
0.000 0.500 0.626
0.000 0.500 0.123
0.000 0.500 0.877
0.500 0.000 0.123
0.500 0.500 0.248
0.500 0.000 0.626
0.500 0.500 0.000
0.500 0.500 0.752
0.000 0.500 0.374
0.500 0.000 0.374
0.500 0.000 0.877
0.000 0.000 0.000
```

Values from the calculation:
**Total energy**: -4.73 eV per atom
**Space group**: P4/mmm, No. 123

=====

[2]
DFT (GGA-PBE) results for a relaxed PmNd3Er crystal.

The structure in POSCAR format:
```
PmNd3Er
1.0
6.395 0.000 -2.474
-0.808 5.675 -2.089
-0.022 0.235 9.445
Nd Er Pm
6 2 2
direct
0.774 0.525 0.548
0.885 0.902 0.306
0.420 0.902 0.306
0.226 0.475 0.452
0.115 0.098 0.694
0.580 0.098 0.694
0.551 0.301 0.102
0.449 0.699 0.898
0.000 0.000 0.000
0.000 0.500 0.000
```

Values from the calculation:
**Space group**: C2/m, No. 12
**Excess energy over the best structure of this formula in the dataset**: 0.000 eV per atom

=====

[3]
DFT (GGA-PBE) results for a relaxed Pm12Nd2Er5 crystal.

The structure in POSCAR format:
```
Pm12Nd2Er5
1.0
9.292 0.000 0.000
-4.646 10.582 -2.079
0.000 -4.755 7.553
Er Pm Nd
5 12 2
direct
0.715 0.431 0.991
0.307 0.614 0.663
0.693 0.386 0.337
0.000 0.000 0.500
0.285 0.569 0.009
0.483 0.965 0.637
0.083 0.660 0.384
0.311 0.241 0.942
0.917 0.340 0.616
0.689 0.759 0.058
0.930 0.241 0.942
0.517 0.035 0.363
0.423 0.340 0.616
0.079 0.158 0.243
0.577 0.660 0.384
0.921 0.842 0.757
0.070 0.759 0.058
0.675 0.000 0.000
0.325 0.000 0.000
```

Values from the calculation:
**Space group**: C2/m, No. 12
**Excess energy over the best structure of this formula in the dataset**: 0.084 eV per atom